Record 1
## MgBiPCl2 (meta-GGA SCAN)

Data for a PBEsol-optimized structure of MgBiPCl2.

Computed properties:
energy relative to the elements, uncorrected	33	meV per atom
E_tot	-21.95	eV per atom

a = 5.224 Å, b = 5.224 Å, c = 5.498 Å
α = 90.00°, β = 90.00°, γ = 90.00°
Space group P4/mmm (No. 123)
Symmetry-distinct sites (fractional):
Mg 0.000 0.000 0.000
Bi 0.500 0.500 0.500
P 0.500 0.500 0.000
Cl 0.000 0.500 0.500

=====

Record 2
## MgBiSCl2 (meta-GGA SCAN)

Data for a PBEsol-optimized structure of MgBiSCl2.

Computed properties:
energy relative to the elements, uncorrected	-855	meV per atom
E_tot	-22.68	eV per atom

a = 4.649 Å, b = 4.649 Å, c = 5.094 Å
α = 90.00°, β = 90.00°, γ = 90.00°
Space group P4/mmm (No. 123)
Symmetry-distinct sites (fractional):
Mg 0.000 0.000 0.000
Bi 0.500 0.500 0.500
S 0.000 0.000 0.500
Cl 0.000 0.500 0.000

=====

Record 3
## SrMgBi2Cl (meta-GGA SCAN)

Data for a PBEsol-optimized structure of SrMgBi2Cl.

Computed properties:
energy relative to the elements, uncorrected	-153	meV per atom
E_tot	-38.63	eV per atom

a = 5.656 Å, b = 5.656 Å, c = 5.267 Å
α = 90.00°, β = 90.00°, γ = 90.00°
Space group P4/mmm (No. 123)
Symmetry-distinct sites (fractional):
Sr 0.000 0.000 0.000
Mg 0.500 0.500 0.000
Bi 0.000 0.500 0.500
Cl 0.000 0.000 0.500

=====

Record 4
## MnBiCl2 (meta-GGA SCAN)

Data for a PBEsol-optimized structure of MnBiCl2.

Computed properties:
energy relative to the elements, uncorrected	-8	meV per atom
E_tot	-28.21	eV per atom

a = 6.965 Å, b = 6.965 Å, c = 6.965 Å
α = 90.00°, β = 90.00°, γ = 90.00°
Space group Fm-3m (No. 225)
Symmetry-distinct sites (fractional):
Mn 0.000 0.000 0.000
Bi 0.000 0.000 0.500
Cl 0.250 0.250 0.250

=====

Copy entry 3 word for word.
## SrMgBi2Cl (meta-GGA SCAN)

Data for a PBEsol-optimized structure of SrMgBi2Cl.

Computed properties:
energy relative to the elements, uncorrected	-153	meV per atom
E_tot	-38.63	eV per atom

a = 5.656 Å, b = 5.656 Å, c = 5.267 Å
α = 90.00°, β = 90.00°, γ = 90.00°
Space group P4/mmm (No. 123)
Symmetry-distinct sites (fractional):
Sr 0.000 0.000 0.000
Mg 0.500 0.500 0.000
Bi 0.000 0.500 0.500
Cl 0.000 0.000 0.500